(1)
VASP calculation (meta-GGA SCAN) on a crystal of BaNaIn2C relaxed with PBEsol.

The structure belongs to space group P4/mmm (No. 123); the cell edges are 6.3548, 6.3548 and 4.7209 Å and the angles 90.00°, 90.00° and 90.00°. The inequivalent atoms are Ba at (0.0000, 0.0000, 0.0000), Na at (0.5000, 0.5000, 0.5000), In at (0.0000, 0.5000, 0.0000) and C at (0.0000, 0.0000, 0.5000).

As for the volume: 191 Å³/cell.

(2)
VASP calculation (meta-GGA SCAN) on a crystal of Ba2SrIrC relaxed with PBEsol.

The structure belongs to space group P4/mmm (No. 123); the cell edges are 5.2562, 5.2562 and 5.2405 Å and the angles 90.00°, 90.00° and 90.00°. The inequivalent atoms are Ba at (0.0000, 0.5000, 0.0000), Sr at (0.0000, 0.0000, 0.5000), Ir at (0.5000, 0.5000, 0.5000) and C at (0.0000, 0.0000, 0.0000).

As for the volume: 145 Å³/cell.

(3)
VASP calculation (meta-GGA SCAN) on a crystal of K3BaC relaxed with PBEsol.

The structure belongs to space group Pm-3m (No. 221); the cell edges are 8.1700, 8.1700 and 8.1700 Å and the angles 90.00°, 90.00° and 90.00°. The inequivalent atoms are K at (0.0000, 0.0000, 0.5000), Ba at (0.0000, 0.0000, 0.0000) and C at (0.5000, 0.5000, 0.5000).

As for the volume: 545 Å³/cell.

(4)
VASP calculation (meta-GGA SCAN) on a crystal of BaLa2CN relaxed with PBEsol.

The structure belongs to space group P4/mmm (No. 123); the cell edges are 4.8393, 4.8393 and 4.7994 Å and the angles 90.00°, 90.00° and 90.00°. The inequivalent atoms are Ba at (0.0000, 0.0000, 0.0000), La at (0.0000, 0.5000, 0.5000), C at (0.5000, 0.5000, 0.0000) and N at (0.5000, 0.5000, 0.5000).

The calculation puts the uncorrected formation energy at 0.662 eV/atom. As for the volume: 112 Å³/cell.

(5)
VASP calculation (meta-GGA SCAN) on a crystal of BaLi2C relaxed with PBEsol.

The structure belongs to space group I4_1/amd (No. 141, origin choice 2); the cell edges are 5.0513, 5.0513 and 12.0796 Å and the angles 90.00°, 90.00° and 90.00°. The inequivalent atoms are Ba at (0.0000, 0.2500, 0.3750), Li at (0.0000, 0.0000, 0.0000) and C at (0.0000, 0.2500, 0.8750).

As for the volume: 308 Å³/cell.

(6)
VASP calculation (meta-GGA SCAN) on a crystal of Ba2LiRhC relaxed with PBEsol.

The structure belongs to space group P4/mmm (No. 123); the cell edges are 5.8588, 5.8588 and 3.8745 Å and the angles 90.00°, 90.00° and 90.00°. The inequivalent atoms are Ba at (0.0000, 0.5000, 0.0000), Li at (0.0000, 0.0000, 0.5000), Rh at (0.5000, 0.5000, 0.5000) and C at (0.5000, 0.5000, 0.0000).

As for the volume: 133 Å³/cell.

(7)
VASP calculation (meta-GGA SCAN) on a crystal of BaMgC3 relaxed with PBEsol.

The structure belongs to space group Pm-3m (No. 221); the cell edges are 4.5810, 4.5810 and 4.5810 Å and the angles 90.00°, 90.00° and 90.00°. The inequivalent atoms are Ba at (0.0000, 0.0000, 0.0000), Mg at (0.5000, 0.5000, 0.5000) and C at (0.0000, 0.0000, 0.5000).

As for the volume: 96 Å³/cell.

(8)
VASP calculation (meta-GGA SCAN) on a crystal of BaMgC2O6 relaxed with PBEsol.

The structure belongs to space group R-3m (No. 166, hexagonal axes); the cell edges are 5.0426, 5.0426 and 16.5116 Å and the angles 90.00°, 90.00° and 120.00°. The inequivalent atoms are Ba at (0.0000, 0.0000, 0.0000), Mg at (0.0000, 0.0000, 0.5000), C at (0.0000, 0.0000, 0.2410) and O at (0.0379, 0.5189, 0.9099).

The calculation puts the uncorrected formation energy at -2.341 eV/atom. As for the volume: 364 Å³/cell.

For reference, energy by record: -114.00; -179.37; -65.66; -141.84; -210.17; -125.29; -58.02; -376.57 eV for the cell shown.